The following is a DFT calculation (PBE-GGA) of a relaxed Rb3AgH2Br6 crystal.

Cell: 7.3857 7.3857 8.7922 Å, 90.00 90.00 120.00°
Space group P-3m1 (No. 164)
Unique sites:
Rb: 0.0000 0.0000 0.0000 [1 per cell]
Rb: 0.3333 0.6667 0.6438 [2 per cell]
Ag: 0.0000 0.0000 0.5000 [1 per cell]
H: 0.3333 0.6667 0.2881 [2 per cell]
Br: 0.1780 0.3561 0.2933 [6 per cell]

Results
spin magnetization = 0.000 μB per formula unit
E = -32.827 eV/cell

---

The following is a DFT calculation (PBE-GGA) of a relaxed KCuTc3 crystal.

Cell: 4.714 4.714 4.714 Å, 90.00 90.00 90.00°
Space group Pm-3m (No. 221)
Unique sites:
K: 0.000 0.000 0.000 [1 per cell]
Cu: 0.500 0.500 0.500 [1 per cell]
Tc: 0.000 0.500 0.500 [3 per cell]

Results
Fermi-level density of states = 9.63 states/eV/f.u.
offset from the most stable computed form = 0.000 eV/atom
spin magnetization = 5.904 μB per formula unit
E = -26.409 eV/cell

---

The following is a DFT calculation (PBE-GGA) of a relaxed SrBePt2 crystal.

Cell: 4.263 4.263 3.964 Å, 90.00 90.00 90.00°
Space group P4/mmm (No. 123)
Unique sites:
Sr: 0.000 0.000 0.000 [1 per cell]
Be: 0.500 0.500 0.000 [1 per cell]
Pt: 0.000 0.500 0.500 [2 per cell]

Results
Fermi-level density of states = 1.27 states/eV/f.u.
spin magnetization = 0.000 μB per formula unit
E = -18.015 eV/cell

---

The following is a DFT calculation (PBE-GGA) of a relaxed Be2Si crystal.

Cell: 7.381 2.626 6.878 Å, 90.00 103.06 90.00°
Space group C2/m (No. 12)
Unique sites:
Be: 0.025 0.000 0.307 [4 per cell]
Be: 0.155 0.500 0.564 [4 per cell]
Si: 0.207 0.500 0.146 [4 per cell]

Results
Fermi-level density of states = 0.65 states/eV/f.u.
offset from the most stable computed form = 0.129 eV/atom
E_form (uncorrected) = 0.8 eV/f.u.
spin magnetization = 0.000 μB per formula unit
E = -48.320 eV/cell

---

The following is a DFT calculation (PBE-GGA) of a relaxed CaDy2Er crystal.

Cell: 3.593 3.593 10.346 Å, 90.00 90.00 90.00°
Space group P4/mmm (No. 123)
Unique sites:
Ca: 0.000 0.000 0.000 [1 per cell]
Dy: 0.500 0.500 0.270 [2 per cell]
Er: 0.000 0.000 0.500 [1 per cell]

Results
Fermi-level density of states = 5.84 states/eV/f.u.
offset from the most stable computed form = 0.010 eV/atom
spin magnetization = 0.003 μB per formula unit
E = -15.473 eV/cell

---

The following is a DFT calculation (PBE-GGA) of a relaxed RbAl2In2 crystal.

Cell: 4.825 4.825 11.958 Å, 90.00 90.00 90.00°
Space group I4/mmm (No. 139)
Unique sites:
Rb: 0.000 0.000 0.000 [2 per cell]
Al: 0.000 0.000 0.388 [4 per cell]
In: 0.000 0.500 0.250 [4 per cell]

Results
Fermi-level density of states = 2.06 states/eV/f.u.
offset from the most stable computed form = 0.000 eV/atom
spin magnetization = 0.000 μB per formula unit
E = -27.641 eV/cell

---

The following is a DFT calculation (PBE-GGA) of a relaxed AcNd8Dy2 crystal.

Cell: 5.661 8.577 16.256 Å, 90.00 90.00 90.00°
Space group Immm (No. 71)
Unique sites:
Ac: 0.000 0.000 0.000 [2 per cell]
Nd: 0.000 0.202 0.500 [4 per cell]
Nd: 0.000 0.298 0.145 [8 per cell]
Nd: 0.000 0.500 0.340 [4 per cell]
Dy: 0.000 0.000 0.300 [4 per cell]

Results
Fermi-level density of states = 15.70 states/eV/f.u.
offset from the most stable computed form = 0.000 eV/atom
spin magnetization = 0.000 μB per formula unit
E = -100.302 eV/cell

---

The following is a DFT calculation (PBE-GGA) of a relaxed AcEr3Pt crystal.

Cell: 5.499 5.499 5.499 Å, 90.00 90.00 90.00°
Space group Pm-3m (No. 221)
Unique sites:
Ac: 0.000 0.000 0.000 [1 per cell]
Er: 0.000 0.500 0.500 [3 per cell]
Pt: 0.500 0.500 0.500 [1 per cell]

Results
Fermi-level density of states = 6.93 states/eV/f.u.
spin magnetization = 0.000 μB per formula unit
E = -26.100 eV/cell

---

The following is a DFT calculation (PBE-GGA) of a relaxed CaZr2Si crystal.

Cell: 3.135 3.135 9.446 Å, 90.00 90.00 90.00°
Space group P4/mmm (No. 123)
Unique sites:
Ca: 0.000 0.000 0.000 [1 per cell]
Zr: 0.500 0.500 0.312 [2 per cell]
Si: 0.000 0.000 0.500 [1 per cell]

Results
Fermi-level density of states = 3.17 states/eV/f.u.
E_form (uncorrected) = -0.3 eV/f.u.
spin magnetization = 0.000 μB per formula unit
E = -24.868 eV/cell

---

The following is a DFT calculation (PBE-GGA) of a relaxed CaPu2ScO8 crystal.

Cell: 6.833 7.101 6.935 Å, 90.00 90.00 90.00°
Space group Cmmm (No. 65)
Unique sites:
Ca: 0.000 0.000 0.000 [2 per cell]
Pu: 0.000 0.500 0.254 [4 per cell]
Sc: 0.000 0.000 0.500 [2 per cell]
O: 0.000 0.305 0.500 [4 per cell]
O: 0.000 0.324 0.000 [4 per cell]
O: 0.207 0.000 0.268 [8 per cell]

Results
Fermi-level density of states = 7.18 states/eV/f.u.
E_form (uncorrected) = -35.1 eV/f.u.
spin magnetization = 5.000 μB per formula unit
E = -223.466 eV/cell

---

The following is a DFT calculation (PBE-GGA) of a relaxed RbNiW3 crystal.

Cell: 4.717 4.717 4.717 Å, 90.00 90.00 90.00°
Space group Pm-3m (No. 221)
Unique sites:
Rb: 0.000 0.000 0.000 [1 per cell]
Ni: 0.500 0.500 0.500 [1 per cell]
W: 0.000 0.500 0.500 [3 per cell]

Results
Fermi-level density of states = 9.39 states/eV/f.u.
offset from the most stable computed form = 0.000 eV/atom
spin magnetization = 1.854 μB per formula unit
E = -34.142 eV/cell

---

Per-record calculated density, kg/m³: 3381; 6288; 11222; 2358; 6617; 4404; 7179; 9224; 4482; 6919; 11009